Record 1
The following is a PBE calculation of crystalline Li4Pa4O11 at its relaxed geometry, from OQMD via LeMat-Bulk.

Space-group type   No. 6

Cell: 5.1939 5.8356 7.3030 Å, 90.00 90.00 89.43°
Last column: magnetic moment on the atom in μB.
Sites, in units of the cell vectors:
Li 0.5048 0.0093 0.0035  0.00
Li 0.5048 0.0093 0.4965  0.00
Li 0.9840 0.4892 0.5230  0.00
Li 0.9840 0.4892 0.9770  0.00
O 0.6874 0.3286 0.0594  -0.02
O 0.8325 0.8135 0.0639  -0.01
O 0.3783 0.9726 0.2500  -0.02
O 0.8325 0.8135 0.4362  -0.01
O 0.6874 0.3286 0.4406  -0.02
O 0.3102 0.6631 0.5605  0.00
O 0.1762 0.1791 0.5649  0.00
O 0.6388 0.0448 0.7500  0.00
O 0.8485 0.5622 0.7500  0.00
O 0.1762 0.1791 0.9351  0.00
O 0.3102 0.6631 0.9395  0.00
Pa 0.9660 0.0921 0.2500  0.92
Pa 0.5320 0.6141 0.2500  1.00
Pa 0.4763 0.3977 0.7500  0.01
Pa 0.0292 0.9023 0.7500  0.01

***

Record 2
The following is a PBE calculation of crystalline MgTaNiAu at its relaxed geometry, from OQMD via LeMat-Bulk.

Space-group type   No. 216

Cell: 4.4671 4.4671 4.4671 Å, 60.00 60.00 60.00°
Sites, in units of the cell vectors:
Au 0.2500 0.2500 0.2500
Mg 0.7500 0.7500 0.7500
Ni 0.5000 0.5000 0.5000
Ta 0.0000 0.0000 0.0000

***

Record 3
The following is a PBE calculation of crystalline TbTmGeBr2 at its relaxed geometry, from OQMD via LeMat-Bulk.

Space-group type   No. 156

Cell: 4.1204 4.1204 10.0180 Å, 90.00 90.00 120.00°
Sites, in units of the cell vectors:
Br 0.3333 0.6667 0.1680
Br 0.6667 0.3333 0.8365
Ge 0.0000 0.0000 0.4965
Tb 0.3333 0.6667 0.6582
Tm 0.6667 0.3333 0.3408

***

Record 4
The following is a PBE calculation of crystalline LaDyNi8B2 at its relaxed geometry, from OQMD via LeMat-Bulk.

Space-group type   No. 191

Cell: 5.0332 5.0332 7.0247 Å, 90.00 90.00 120.00°
Sites, in units of the cell vectors:
B 0.6667 0.3333 0.5000
B 0.3333 0.6667 0.5000
Dy 0.0000 0.0000 0.5000
La 0.0000 0.0000 0.0000
Ni 0.6667 0.3333 0.0000
Ni 0.3333 0.6667 0.0000
Ni 0.5000 0.0000 0.2964
Ni 0.0000 0.5000 0.2964
Ni 0.5000 0.5000 0.2964
Ni 0.5000 0.0000 0.7036
Ni 0.0000 0.5000 0.7036
Ni 0.5000 0.5000 0.7036

***

Record 5
The following is a PBE calculation of crystalline ErAlPd at its relaxed geometry, from OQMD via LeMat-Bulk.

Space-group type   No. 62

Cell: 6.8288 4.4126 7.7696 Å, 90.00 90.00 90.00°
Sites, in units of the cell vectors:
Al 0.1444 0.2500 0.0611
Al 0.6444 0.2500 0.4389
Al 0.3556 0.7500 0.5611
Al 0.8556 0.7500 0.9389
Er 0.4675 0.7500 0.1807
Er 0.9675 0.7500 0.3193
Er 0.0325 0.2500 0.6807
Er 0.5325 0.2500 0.8193
Pd 0.7687 0.2500 0.1191
Pd 0.2687 0.2500 0.3809
Pd 0.7313 0.7500 0.6191
Pd 0.2313 0.7500 0.8809

***

Record 6
The following is a PBE calculation of crystalline NpCuRe at its relaxed geometry, from OQMD via LeMat-Bulk.

Space-group type   No. 216

Cell: 4.3543 4.3543 4.3543 Å, 60.00 60.00 60.00°
Last column: magnetic moment on the atom in μB.
Sites, in units of the cell vectors:
Cu 0.0000 0.0000 0.0000  0.00
Np 0.5000 0.5000 0.5000  3.12
Re 0.2500 0.2500 0.2500  -0.40

***

Number 1: E -148.4 eV for the cell shown. Number 2: E -21.7 eV for the cell shown. Number 3: E -24.2 eV for the cell shown. Number 4: E -73.2 eV for the cell shown. Number 5: E -64.7 eV for the cell shown. Number 6: E -26.5 eV for the cell shown.